{"formula": "KPdPb2", "functional": "PBE", "state": "optimized geometry", "lattice": [[3.570, 0.000, 0.000], [0.000, 3.570, 0.000], [0.000, 0.000, 8.777]], "species": ["K", "Pd", "Pb", "Pb"], "frac_coords": [[0.000, 0.000, 0.000], [0.000, 0.000, 0.500], [0.500, 0.500, 0.315], [0.500, 0.500, 0.685]], "total_energy_ha_per_atom": -0.134, "sg": "P4/mmm", "e_form_ev_per_atom": -0.233, "m_tot_mub_per_fu": 0.00}

=====

{"formula": "LiTh2Ag6", "functional": "PBE", "state": "optimized geometry", "lattice": [[7.313, -4.224, 0.000], [7.313, 4.224, 0.000], [-0.004, 0.000, 3.269]], "species": ["Li", "Th", "Th", "Ag", "Ag", "Ag", "Ag", "Ag", "Ag"], "frac_coords": [[0.000, 0.000, 0.000], [0.333, 0.333, 0.000], [0.667, 0.667, 0.000], [0.000, 0.327, 0.499], [0.000, 0.673, 0.501], [0.327, 0.000, 0.499], [0.327, 0.673, 0.500], [0.673, 0.000, 0.501], [0.673, 0.327, 0.500]], "total_energy_ha_per_atom": -0.140, "sg": "C2/m", "e_form_ev_per_atom": -0.060, "m_tot_mub_per_fu": 0.00}

=====

{"formula": "In2HgTe4", "functional": "PBE", "state": "optimized geometry", "lattice": [[-3.194, 3.194, 6.337], [3.194, -3.194, 6.337], [3.194, 3.194, -6.337]], "species": ["In", "In", "Hg", "Te", "Te", "Te", "Te"], "frac_coords": [[0.000, 0.000, 0.000], [0.750, 0.250, 0.500], [0.250, 0.750, 0.500], [0.160, 0.165, 0.549], [0.389, 0.840, 0.006], [0.616, 0.611, 0.451], [0.835, 0.384, 0.994]], "e_above_lowest_polymorph_ev_per_atom": 0.000, "total_energy_ha_per_atom": -0.107, "sg": "I-4", "m_tot_mub_per_fu": 0.00}

=====

{"formula": "TaBrN3", "functional": "PBE", "state": "optimized geometry", "lattice": [[3.809, 0.000, 0.000], [0.000, 3.809, 0.000], [0.000, 0.000, 3.809]], "species": ["Ta", "Br", "N", "N", "N"], "frac_coords": [[0.000, 0.000, 0.000], [0.500, 0.500, 0.500], [0.000, 0.500, 0.500], [0.500, 0.000, 0.500], [0.500, 0.500, 0.000]], "total_energy_ha_per_atom": -0.200, "sg": "Pm-3m", "m_tot_mub_per_fu": 0.00}

=====

{"formula": "La2ScMo", "functional": "PBE", "state": "optimized geometry", "lattice": [[-1.818, 2.682, 5.386], [1.818, -2.682, 5.386], [1.818, 2.682, -5.386]], "species": ["La", "La", "Sc", "Mo"], "frac_coords": [[0.206, 0.206, 0.000], [0.794, 0.794, 0.000], [0.500, 0.000, 0.500], [0.000, 0.500, 0.500]], "e_above_lowest_polymorph_ev_per_atom": 0.100, "total_energy_ha_per_atom": -0.235, "sg": "Immm", "e_form_ev_per_atom": 0.348, "m_tot_mub_per_fu": 0.00}

=====

{"formula": "La2TiSi4Pt3", "functional": "PBE", "state": "optimized geometry", "lattice": [[4.249, 0.000, 0.000], [0.000, 4.249, 0.000], [0.000, 0.000, 10.387]], "species": ["La", "La", "Ti", "Si", "Si", "Si", "Si", "Pt", "Pt", "Pt"], "frac_coords": [[0.000, 0.500, 0.242], [0.500, 0.000, 0.758], [0.000, 0.000, 0.500], [0.000, 0.000, 0.000], [0.000, 0.500, 0.640], [0.500, 0.000, 0.360], [0.500, 0.500, 0.000], [0.000, 0.500, 0.883], [0.500, 0.000, 0.117], [0.500, 0.500, 0.500]], "total_energy_ha_per_atom": -0.251, "sg": "P-4m2", "m_tot_mub_per_fu": 0.00}

=====

{"formula": "LiPrNiH6", "functional": "PBE", "state": "optimized geometry", "lattice": [[4.462, 0.000, 0.000], [-2.231, 3.864, 0.000], [0.000, 0.000, 4.386]], "species": ["Li", "Pr", "Ni", "H", "H", "H", "H", "H", "H"], "frac_coords": [[0.000, 0.000, 0.000], [0.667, 0.333, 0.500], [0.333, 0.667, 0.000], [0.181, 0.363, 0.248], [0.181, 0.363, 0.752], [0.181, 0.819, 0.248], [0.181, 0.819, 0.752], [0.637, 0.819, 0.248], [0.637, 0.819, 0.752]], "total_energy_ha_per_atom": -0.145, "sg": "P-6m2", "m_tot_mub_per_fu": 0.00}

=====

{"formula": "La8GaSe3I4", "functional": "PBE", "state": "optimized geometry", "lattice": [[4.395, 2.537, 7.739], [-4.395, 2.537, 7.739], [0.000, -5.075, 7.739]], "species": ["La", "La", "La", "La", "La", "La", "La", "La", "Ga", "Se", "Se", "Se", "I", "I", "I", "I"], "frac_coords": [[0.234, 0.234, 0.234], [0.234, 0.735, 0.735], [0.265, 0.265, 0.766], [0.265, 0.766, 0.265], [0.735, 0.234, 0.735], [0.735, 0.735, 0.234], [0.766, 0.265, 0.265], [0.766, 0.766, 0.766], [0.500, 0.500, 0.500], [0.000, 0.000, 0.500], [0.000, 0.500, 0.000], [0.500, 0.000, 0.000], [0.000, 0.000, 0.000], [0.000, 0.500, 0.500], [0.500, 0.000, 0.500], [0.500, 0.500, 0.000]], "total_energy_ha_per_atom": -0.186, "sg": "R-3m", "m_tot_mub_per_fu": 0.00}

=====

{"formula": "BaSr3Ir", "functional": "PBE", "state": "optimized geometry", "lattice": [[4.819, 0.000, 0.000], [0.000, 4.819, 0.000], [0.000, 0.000, 11.139]], "species": ["Ba", "Sr", "Sr", "Sr", "Ir"], "frac_coords": [[0.000, 0.000, 0.000], [0.000, 0.000, 0.397], [0.000, 0.500, 0.718], [0.500, 0.000, 0.718], [0.500, 0.500, 0.879]], "e_above_lowest_polymorph_ev_per_atom": 0.390, "total_energy_ha_per_atom": -0.108, "sg": "P4mm", "e_form_ev_per_atom": 0.226, "m_tot_mub_per_fu": 0.00}

=====

{"formula": "MgZrCoTe2", "functional": "PBE", "state": "optimized geometry", "lattice": [[5.062, 0.000, 0.000], [0.000, 5.062, 0.000], [0.000, 0.000, 4.424]], "species": ["Mg", "Zr", "Co", "Te", "Te"], "frac_coords": [[0.000, 0.000, 0.000], [0.500, 0.500, 0.000], [0.000, 0.000, 0.500], [0.000, 0.500, 0.500], [0.500, 0.000, 0.500]], "total_energy_ha_per_atom": -0.165, "sg": "P4/mmm", "m_tot_mub_per_fu": 0.00}

=====

{"formula": "FeBiSeCl2", "functional": "PBE", "state": "optimized geometry", "lattice": [[4.594, 0.000, 0.000], [0.000, 4.594, 0.000], [0.000, 0.000, 5.489]], "species": ["Fe", "Bi", "Se", "Cl", "Cl"], "frac_coords": [[0.000, 0.000, 0.000], [0.500, 0.500, 0.500], [0.000, 0.000, 0.500], [0.000, 0.500, 0.000], [0.500, 0.000, 0.000]], "total_energy_ha_per_atom": -0.150, "sg": "P4/mmm", "m_tot_mub_per_fu": 2.61}

=====

{"formula": "Sm2Ho17", "functional": "PBE", "state": "optimized geometry", "lattice": [[5.574, 3.218, 5.826], [-5.574, 3.218, 5.826], [0.000, -6.436, 5.826]], "species": ["Sm", "Sm", "Ho", "Ho", "Ho", "Ho", "Ho", "Ho", "Ho", "Ho", "Ho", "Ho", "Ho", "Ho", "Ho", "Ho", "Ho", "Ho", "Ho"], "frac_coords": [[0.174, 0.174, 0.174], [0.826, 0.826, 0.826], [0.000, 0.500, 0.500], [0.132, 0.132, 0.648], [0.132, 0.648, 0.132], [0.202, 0.500, 0.798], [0.202, 0.798, 0.500], [0.352, 0.868, 0.868], [0.403, 0.403, 0.403], [0.500, 0.000, 0.500], [0.500, 0.202, 0.798], [0.500, 0.500, 0.000], [0.500, 0.798, 0.202], [0.597, 0.597, 0.597], [0.648, 0.132, 0.132], [0.798, 0.202, 0.500], [0.798, 0.500, 0.202], [0.868, 0.352, 0.868], [0.868, 0.868, 0.352]], "total_energy_ha_per_atom": -0.158, "sg": "R-3m", "e_form_ev_per_atom": 0.284, "m_tot_mub_per_fu": 0.03}